# 1
Computed, not measured: a geometry-optimized K2Tl2Pb3 structure at the GGA-PBE level of DFT.

abc: 5.059 6.995 8.378
angles: 112.64 90.00 111.20
Sites, in units of the cell vectors:
K  0.854  0.708  0.216
Pb  0.403  0.806  0.568
Pb  0.500  0.000  0.000
Pb  0.597  0.194  0.432
K  0.146  0.292  0.784
Tl  0.843  0.686  0.756
Tl  0.157  0.314  0.244

Summary:
DOS(E_F), states/eV/cell: 4.282
ΔH_f (0 K), eV per atom: -0.10
Relative energy among the computed polymorphs, meV per atom: 0
SG: C2/m, No. 12
VASP energy, eV per atom: -2.68

=====

# 2
Computed, not measured: a geometry-optimized LiPr2Ir structure at the GGA-PBE level of DFT.

abc: 5.128 5.128 5.128
angles: 60.00 60.00 60.00
Sites, in units of the cell vectors:
Pr  0.500  0.500  0.500
Pr  0.000  0.000  0.000
Ir  0.250  0.250  0.250
Li  0.750  0.750  0.750

Summary:
DOS(E_F), states/eV/cell: 2.665
ΔH_f (0 K), eV per atom: -0.36
SG: Fm-3m, No. 225
VASP energy, eV per atom: -5.45

=====

# 3
Computed, not measured: a geometry-optimized PmDyZnFe structure at the GGA-PBE level of DFT.

abc: 4.978 4.978 4.978
angles: 60.00 60.00 60.00
Sites, in units of the cell vectors:
Pm  0.250  0.250  0.250
Zn  0.500  0.500  0.500
Dy  0.750  0.750  0.750
Fe  0.000  0.000  0.000

Summary:
DOS(E_F), states/eV/cell: 4.448
ΔH_f (0 K), eV per atom: -0.04
SG: F-43m, No. 216
VASP energy, eV per atom: -4.81

=====

# 4
Computed, not measured: a geometry-optimized YAlTc4 structure at the GGA-PBE level of DFT.

abc: 5.264 5.264 5.264
angles: 60.00 60.00 60.00
Sites, in units of the cell vectors:
Tc  0.374  0.374  0.878
Tc  0.374  0.374  0.374
Tc  0.374  0.878  0.374
Y  0.750  0.750  0.750
Tc  0.878  0.374  0.374
Al  0.000  0.000  0.000

Summary:
DOS(E_F), states/eV/cell: 5.711
ΔH_f (0 K), eV per atom: -0.04
SG: F-43m, No. 216
VASP energy, eV per atom: -8.66

=====

# 5
Computed, not measured: a geometry-optimized LiZr2Cl structure at the GGA-PBE level of DFT.

abc: 9.003 9.003 3.294
angles: 79.51 79.51 20.44
Sites, in units of the cell vectors:
Li  0.750  0.750  0.750
Zr  0.558  0.558  0.442
Cl  0.250  0.250  0.250
Zr  0.942  0.942  0.058

Summary:
DOS(E_F), states/eV/cell: 2.174
Relative energy among the computed polymorphs, meV per atom: 147
SG: Immm, No. 71
Energy relative to the elements, uncorrected, eV per atom: -0.40
VASP energy, eV per atom: -5.62

=====

# 6
Computed, not measured: a geometry-optimized Rb2SrUBr8 structure at the GGA-PBE level of DFT.

abc: 7.871 7.262 9.342
angles: 89.73 90.22 92.22
Sites, in units of the cell vectors:
Br  0.310  0.239  0.500
Br  0.690  0.761  0.500
Br  0.876  0.222  0.778
Br  0.126  0.780  0.778
Rb  0.498  0.502  0.748
Rb  0.502  0.498  0.252
Br  0.874  0.220  0.222
Br  0.304  0.203  0.000
Br  0.696  0.797  0.000
Br  0.124  0.778  0.222
U  0.000  0.000  0.000
Sr  0.000  0.000  0.500

Summary:
DOS(E_F), states/eV/cell: 5.552
SG: P-1, No. 2
Energy relative to the elements, uncorrected, eV per atom: -1.64
VASP energy, eV per atom: -4.00

=====

# 7
Computed, not measured: a geometry-optimized AcTbPmTm structure at the GGA-PBE level of DFT.

abc: 3.696 3.696 10.288
angles: 90.00 90.00 90.00
Sites, in units of the cell vectors:
Ac  0.146  0.854  0.725
Tb  0.646  0.354  0.988
Pm  0.646  0.354  0.457
Tm  0.146  0.854  0.219

Summary:
DOS(E_F), states/eV/cell: 6.719
ΔH_f (0 K), eV per atom: 0.06
Relative energy among the computed polymorphs, meV per atom: 0
SG: P4mm, No. 99
VASP energy, eV per atom: -4.43

=====

# 8
Computed, not measured: a geometry-optimized CaDyPu structure at the GGA-PBE level of DFT.

abc: 3.270 5.943 10.706
angles: 90.35 90.00 105.97
Sites, in units of the cell vectors:
Ca  0.129  0.257  0.411
Pu  0.868  0.735  0.235
Ca  0.871  0.743  0.589
Dy  0.135  0.270  0.078
Pu  0.132  0.265  0.765
Dy  0.865  0.730  0.922

Summary:
DOS(E_F), states/eV/cell: 21.807
ΔH_f (0 K), eV per atom: 0.38
Relative energy among the computed polymorphs, meV per atom: 169
SG: C2/m, No. 12
VASP energy, eV per atom: -6.60

=====

# 9
Computed, not measured: a geometry-optimized CoAgCl2 structure at the GGA-PBE level of DFT.

abc: 3.823 6.229 3.462
angles: 90.00 90.00 90.00
Sites, in units of the cell vectors:
Cl  0.000  0.000  0.000
Co  0.500  0.000  0.500
Cl  0.500  0.500  0.000
Ag  0.000  0.500  0.500

Summary:
DOS(E_F), states/eV/cell: 2.292
Relative energy among the computed polymorphs, meV per atom: 272
SG: Pmmm, No. 47
Energy relative to the elements, uncorrected, eV per atom: 0.10
VASP energy, eV per atom: -3.31

=====

# 10
Computed, not measured: a geometry-optimized Ce6HgRh2 structure at the GGA-PBE level of DFT.

abc: 4.732 5.757 8.830
angles: 93.60 90.00 114.27
Sites, in units of the cell vectors:
Ce  0.600  0.200  0.180
Ce  0.062  0.124  0.863
Ce  0.400  0.800  0.820
Ce  0.295  0.590  0.410
Hg  0.000  0.000  0.500
Rh  0.737  0.475  0.883
Ce  0.938  0.876  0.137
Ce  0.705  0.410  0.590
Rh  0.263  0.525  0.117

Summary:
DOS(E_F), states/eV/cell: 20.768
ΔH_f (0 K), eV per atom: -0.42
Relative energy among the computed polymorphs, meV per atom: 0
SG: C2/m, No. 12
VASP energy, eV per atom: -6.04

=====

# 11
Computed, not measured: a geometry-optimized TmNbC2 structure at the GGA-PBE level of DFT.

abc: 3.263 3.263 6.061
angles: 74.39 74.39 60.00
Sites, in units of the cell vectors:
C  0.260  0.260  0.219
C  0.074  0.074  0.778
Nb  0.670  0.670  0.990
Tm  0.496  0.496  0.512

Summary:
DOS(E_F), states/eV/cell: 1.516
ΔH_f (0 K), eV per atom: -0.21
SG: R3m, No. 160
VASP energy, eV per atom: -8.45

=====

# 12
Computed, not measured: a geometry-optimized LiMg3Ga7 structure at the GGA-PBE level of DFT.

abc: 2.982 11.019 13.096
angles: 90.00 90.00 97.78
Sites, in units of the cell vectors:
Li  0.983  0.966  0.250
Ga  0.396  0.792  0.750
Ga  0.718  0.436  0.922
Ga  0.718  0.436  0.578
Mg  0.148  0.297  0.427
Mg  0.852  0.703  0.573
Ga  0.604  0.208  0.250
Ga  0.407  0.815  0.391
Ga  0.407  0.815  0.109
Mg  0.852  0.703  0.927
Ga  0.282  0.564  0.078
Ga  0.467  0.934  0.915
Ga  0.533  0.066  0.085
Ga  0.533  0.066  0.415
Li  0.017  0.034  0.750
Ga  0.282  0.564  0.422
Mg  0.263  0.526  0.750
Mg  0.737  0.474  0.250
Ga  0.467  0.934  0.585
Mg  0.148  0.297  0.073
Ga  0.593  0.185  0.891
Ga  0.593  0.185  0.609

Summary:
DOS(E_F), states/eV/cell: 6.903
ΔH_f (0 K), eV per atom: -0.11
SG: Cmcm, No. 63
VASP energy, eV per atom: -2.65

=====

# 13
Computed, not measured: a geometry-optimized LaPr3Th2N6 structure at the GGA-PBE level of DFT.

abc: 3.695 7.381 8.243
angles: 102.81 102.95 90.00
Sites, in units of the cell vectors:
N  0.329  0.427  0.659
N  0.993  0.744  0.986
Th  0.834  0.668  0.668
N  0.007  0.256  0.014
Pr  0.500  0.500  0.000
Pr  0.834  0.165  0.668
La  0.500  0.000  0.000
N  0.332  0.902  0.663
N  0.668  0.098  0.337
Th  0.166  0.332  0.332
Pr  0.166  0.835  0.332
N  0.671  0.573  0.341

Summary:
DOS(E_F), states/eV/cell: 2.944
SG: C2/m, No. 12
Energy relative to the elements, uncorrected, eV per atom: -1.45
VASP energy, eV per atom: -8.45

=====

# 14
Computed, not measured: a geometry-optimized Nd4Sm5Th structure at the GGA-PBE level of DFT.

abc: 3.648 3.648 25.845
angles: 90.00 90.00 90.00
Sites, in units of the cell vectors:
Nd  0.000  0.000  0.801
Nd  0.000  0.000  0.199
Sm  0.500  0.500  0.500
Sm  0.500  0.500  0.094
Sm  0.500  0.500  0.299
Sm  0.500  0.500  0.906
Nd  0.000  0.000  0.400
Nd  0.000  0.000  0.600
Th  0.000  0.000  0.000
Sm  0.500  0.500  0.701

Summary:
DOS(E_F), states/eV/cell: 14.865
ΔH_f (0 K), eV per atom: 0.02
Relative energy among the computed polymorphs, meV per atom: 0
SG: P4/mmm, No. 123
VASP energy, eV per atom: -4.99

=====

# 15
Computed, not measured: a geometry-optimized LaZr4Zn structure at the GGA-PBE level of DFT.

abc: 5.963 5.963 5.963
angles: 60.00 60.00 60.00
Sites, in units of the cell vectors:
Zr  0.871  0.376  0.376
Zr  0.376  0.376  0.376
La  0.750  0.750  0.750
Zr  0.376  0.376  0.871
Zn  0.000  0.000  0.000
Zr  0.376  0.871  0.376

Summary:
DOS(E_F), states/eV/cell: 9.376
ΔH_f (0 K), eV per atom: 0.34
SG: F-43m, No. 216
VASP energy, eV per atom: -6.39

=====

# 16
Computed, not measured: a geometry-optimized Li3Ho5H12 structure at the GGA-PBE level of DFT.

abc: 10.741 10.741 10.741
angles: 109.47 109.47 109.47
Sites, in units of the cell vectors:
H  0.229  0.151  0.557
H  0.078  0.229  0.672
H  0.906  0.349  0.078
H  0.271  0.943  0.349
H  0.578  0.406  0.349
Ho  0.625  0.875  0.250
Ho  0.125  0.750  0.375
H  0.406  0.828  0.057
H  0.406  0.578  0.849
H  0.078  0.849  0.906
H  0.651  0.094  0.422
Ho  0.000  0.500  0.000
H  0.094  0.651  0.922
Ho  0.500  0.500  0.500
Ho  0.875  0.625  0.750
Ho  0.750  0.125  0.875
H  0.151  0.922  0.594
H  0.094  0.443  0.672
Ho  0.250  0.375  0.625
Ho  0.000  0.500  0.500
H  0.849  0.078  0.406
H  0.828  0.406  0.557
H  0.849  0.771  0.943
H  0.771  0.922  0.828
H  0.443  0.094  0.172
H  0.422  0.828  0.271
H  0.057  0.328  0.406
H  0.557  0.651  0.229
Ho  0.375  0.250  0.125
Li  0.875  0.125  0.250
Ho  0.500  0.000  0.500
H  0.729  0.057  0.651
H  0.828  0.422  0.771
H  0.557  0.906  0.828
H  0.651  0.557  0.729
Ho  0.125  0.375  0.250
H  0.328  0.057  0.906
H  0.672  0.729  0.078
Ho  0.500  0.500  0.000
H  0.578  0.172  0.729
H  0.771  0.849  0.443
H  0.729  0.672  0.578
Li  0.875  0.750  0.125
H  0.906  0.557  0.328
Ho  0.625  0.750  0.875
Ho  0.375  0.125  0.750
H  0.422  0.594  0.651
H  0.271  0.328  0.422
Li  0.250  0.125  0.375
Li  0.125  0.875  0.750
Ho  0.000  0.000  0.000
Li  0.625  0.250  0.375
H  0.151  0.229  0.057
Ho  0.750  0.625  0.375
H  0.922  0.151  0.094
H  0.172  0.594  0.443
Li  0.375  0.625  0.250
H  0.172  0.578  0.229
Ho  0.500  0.000  0.000
Li  0.750  0.375  0.125
Ho  0.875  0.250  0.625
Li  0.375  0.750  0.625
Li  0.625  0.375  0.750
Li  0.125  0.250  0.875
H  0.594  0.422  0.151
H  0.057  0.729  0.151
Ho  0.250  0.875  0.125
H  0.943  0.271  0.849
Li  0.250  0.625  0.875
H  0.594  0.172  0.943
H  0.922  0.771  0.328
Li  0.750  0.875  0.625
Ho  0.000  0.000  0.500
H  0.943  0.672  0.594
H  0.349  0.443  0.271
H  0.229  0.078  0.172
H  0.443  0.349  0.771
H  0.349  0.906  0.578
H  0.672  0.943  0.094
H  0.328  0.271  0.922

Summary:
DOS(E_F), states/eV/cell: 11.257
SG: Ia-3d, No. 230
VASP energy, eV per atom: -3.88

=====

# 17
Computed, not measured: a geometry-optimized K2RbF8 structure at the GGA-PBE level of DFT.

abc: 5.198 5.437 8.047
angles: 104.27 108.84 90.00
Sites, in units of the cell vectors:
F  0.680  0.804  0.359
Rb  0.500  0.000  0.000
F  0.813  0.872  0.626
F  0.320  0.196  0.641
K  0.829  0.381  0.658
F  0.998  0.313  0.996
F  0.652  0.430  0.305
F  0.348  0.570  0.695
F  0.002  0.687  0.004
F  0.187  0.128  0.374
K  0.171  0.619  0.342

Summary:
SG: C2/m, No. 12
Energy relative to the elements, uncorrected, eV per atom: -1.49
VASP energy, eV per atom: -3.14

=====

# 18
Computed, not measured: a geometry-optimized RbCdHgOs2 structure at the GGA-PBE level of DFT.

abc: 5.076 5.980 5.076
angles: 90.00 90.00 90.00
Sites, in units of the cell vectors:
Os  0.000  0.000  0.500
Hg  0.500  0.500  0.500
Cd  0.000  0.500  0.000
Rb  0.000  0.000  0.000
Os  0.500  0.000  0.000

Summary:
DOS(E_F), states/eV/cell: 4.559
ΔH_f (0 K), eV per atom: 3.10
SG: P4/mmm, No. 123
VASP energy, eV per atom: -1.83

=====

# 19
Computed, not measured: a geometry-optimized Ca5Mg4Pb structure at the GGA-PBE level of DFT.

abc: 3.948 3.948 19.749
angles: 90.00 90.00 90.00
Sites, in units of the cell vectors:
Ca  0.500  0.500  0.100
Mg  0.000  0.000  0.798
Mg  0.000  0.000  0.202
Ca  0.500  0.500  0.900
Mg  0.000  0.000  0.400
Ca  0.500  0.500  0.500
Pb  0.000  0.000  0.000
Mg  0.000  0.000  0.600
Ca  0.500  0.500  0.300
Ca  0.500  0.500  0.700

Summary:
DOS(E_F), states/eV/cell: 9.520
ΔH_f (0 K), eV per atom: -0.18
SG: P4/mmm, No. 123
VASP energy, eV per atom: -2.19

=====

# 20
Computed, not measured: a geometry-optimized Al2Co2W structure at the GGA-PBE level of DFT.

abc: 6.881 6.881 2.728
angles: 90.00 90.00 90.00
Sites, in units of the cell vectors:
Co  0.364  0.864  0.000
Al  0.840  0.340  0.500
W  0.500  0.500  0.000
W  0.000  0.000  0.000
Co  0.864  0.636  0.000
Al  0.340  0.160  0.500
Co  0.636  0.136  0.000
Al  0.160  0.660  0.500
Al  0.660  0.840  0.500
Co  0.136  0.364  0.000

Summary:
DOS(E_F), states/eV/cell: 7.104
ΔH_f (0 K), eV per atom: -0.15
Relative energy among the computed polymorphs, meV per atom: 15
SG: P4/mbm, No. 127
VASP energy, eV per atom: -7.08